The following is a DFT calculation (PBEsol) of a relaxed structure of Ta2Zn3O8.

Values from the calculation:
For the total magnetization, the calculation gives 0.00 Bohr magnetons per cell. As for the formation energy without anion corrections: -28.58 eV per formula unit. As for the space group: No. 15.

Lattice parameters (Å, degrees): 6.113 6.113 9.514 71.47 71.47 87.06
Sites, in units of the cell vectors:
1 Ta 0.222 0.938 0.373
2 Ta 0.062 0.778 0.127
3 Ta 0.778 0.062 0.627
4 Ta 0.938 0.222 0.873
5 Zn 0.762 0.238 0.250
6 Zn 0.238 0.762 0.750
7 Zn 0.362 0.321 0.996
8 Zn 0.679 0.638 0.504
9 Zn 0.638 0.679 0.004
10 Zn 0.321 0.362 0.496
11 O 0.573 0.820 0.645
12 O 0.180 0.427 0.855
13 O 0.427 0.180 0.355
14 O 0.820 0.573 0.145
15 O 0.418 0.690 0.410
16 O 0.310 0.582 0.090
17 O 0.582 0.310 0.590
18 O 0.690 0.418 0.910
19 O 0.284 0.016 0.145
20 O 0.984 0.716 0.355
21 O 0.140 0.938 0.896
22 O 0.062 0.860 0.604
23 O 0.860 0.062 0.104
24 O 0.938 0.140 0.396
25 O 0.016 0.284 0.645
26 O 0.716 0.984 0.855

=====

The following is a DFT calculation (PBEsol) of a relaxed structure of PtAu.

Values from the calculation:
The energy of formation from the pure elements is 0.052 eV/atom. For the total magnetization, the calculation gives 0.00 Bohr magnetons per cell. As for the space group: No. 187.

Lattice parameters (Å, degrees): 2.777 2.777 4.780 90.00 90.00 120.00
Sites, in units of the cell vectors:
1 Au 0.667 0.333 0.500
2 Pt 0.000 0.000 0.000

=====

The following is a DFT calculation (PBEsol) of a relaxed structure of CaCu4P2.

Values from the calculation:
The energy of formation from the pure elements is -0.484 eV/atom. For the total magnetization, the calculation gives 0.00 Bohr magnetons per cell. As for the space group: No. 136.

Lattice parameters (Å, degrees): 3.739 7.187 7.187 90.00 90.00 90.00
Sites, in units of the cell vectors:
1 Ca 0.000 0.000 0.000
2 Ca 0.500 0.500 0.500
3 Cu 0.000 0.584 0.164
4 Cu 0.000 0.416 0.836
5 Cu 0.500 0.336 0.084
6 Cu 0.500 0.664 0.916
7 Cu 0.500 0.916 0.664
8 Cu 0.500 0.084 0.336
9 Cu 0.000 0.164 0.584
10 Cu 0.000 0.836 0.416
11 P 0.000 0.281 0.281
12 P 0.000 0.719 0.719
13 P 0.500 0.219 0.781
14 P 0.500 0.781 0.219

=====

The following is a DFT calculation (PBEsol) of a relaxed structure of Y2GaRu2.

Values from the calculation:
The energy of formation from the pure elements is -0.405 eV/atom. For the total magnetization, the calculation gives 0.00 Bohr magnetons per cell. As for the space group: No. 127.

Lattice parameters (Å, degrees): 4.233 6.712 6.712 90.00 90.00 90.00
Sites, in units of the cell vectors:
1 Y 0.500 0.176 0.676
2 Y 0.500 0.676 0.824
3 Y 0.500 0.824 0.324
4 Y 0.500 0.324 0.176
5 Ru 0.000 0.364 0.864
6 Ru 0.000 0.864 0.636
7 Ru 0.000 0.636 0.136
8 Ru 0.000 0.136 0.364
9 Ga 0.000 0.000 0.000
10 Ga 0.000 0.500 0.500

=====

The following is a DFT calculation (PBEsol) of a relaxed structure of MgP4.

Values from the calculation:
The energy of formation from the pure elements is 0.123 eV/atom. For the total magnetization, the calculation gives 0.00 Bohr magnetons per cell. As for the space group: No. 139.

Lattice parameters (Å, degrees): 4.593 5.120 4.593 63.35 90.00 116.65
Sites, in units of the cell vectors:
1 Mg 0.000 0.000 0.000
2 P 0.250 0.500 0.250
3 P 0.750 0.500 0.750
4 P 0.331 0.663 0.669
5 P 0.669 0.337 0.331

=====

The following is a DFT calculation (PBEsol) of a relaxed structure of Fe2HPdAu.

Values from the calculation:
For the total magnetization, the calculation gives 5.74 Bohr magnetons per cell. As for the space group: No. 123. The uncorrected energy comes out at -6.185 eV per atom.

Lattice parameters (Å, degrees): 3.806 3.806 3.906 90.00 90.00 90.00
Each line ends with the local moment (μB).
Sites, in units of the cell vectors:
1 H 0.000 0.000 0.000  -0.02
2 Au 0.500 0.500 0.500  0.13
3 Fe 0.000 0.500 0.000  2.73
4 Fe 0.500 0.000 0.000  2.73
5 Pd 0.000 0.000 0.500  0.16

=====

The following is a DFT calculation (PBEsol) of a relaxed structure of Co3O2F4.

Values from the calculation:
The calculation puts the excess energy over the best structure of this formula in the dataset at 0.051 eV per formula unit. For the total magnetization, the calculation gives 10.93 Bohr magnetons per cell. As for the formation energy without anion corrections: -12.70 eV per formula unit. As for the space group: No. 2.

Lattice parameters (Å, degrees): 4.537 5.368 7.382 84.07 86.91 85.79
Each line ends with the local moment (μB).
Sites, in units of the cell vectors:
1 Co 0.511 0.153 0.834  0.30
2 Co 0.489 0.847 0.166  0.30
3 Co 0.500 0.500 0.500  1.94
4 Co 0.000 0.000 0.500  1.88
5 Co 0.020 0.318 0.155  2.41
6 Co 0.980 0.682 0.845  2.41
7 O 0.698 0.204 0.601  0.17
8 O 0.692 0.871 0.940  0.21
9 O 0.302 0.796 0.399  0.17
10 O 0.308 0.129 0.060  0.21
11 F 0.780 0.031 0.262  0.08
12 F 0.801 0.700 0.600  0.10
13 F 0.786 0.356 0.927  0.08
14 F 0.707 0.536 0.258  0.06
15 F 0.293 0.464 0.742  0.06
16 F 0.214 0.644 0.073  0.08
17 F 0.220 0.969 0.738  0.08
18 F 0.199 0.300 0.400  0.10

=====

The following is a DFT calculation (PBEsol) of a relaxed structure of SiGeO3.

Values from the calculation:
For the total magnetization, the calculation gives 0.00 Bohr magnetons per cell. As for the formation energy without anion corrections: -10.47 eV per formula unit. As for the space group: No. 61.

Lattice parameters (Å, degrees): 5.359 9.264 19.829 90.00 90.00 90.00
Sites, in units of the cell vectors:
1 Si 0.250 0.648 0.000
2 Si 0.750 0.852 0.000
3 Si 0.482 0.650 0.250
4 Si 0.982 0.850 0.250
5 Si 0.482 0.150 0.250
6 Si 0.982 0.350 0.250
7 Si 0.250 0.148 0.500
8 Si 0.750 0.352 0.500
9 Si 0.250 0.648 0.500
10 Si 0.750 0.852 0.500
11 Si 0.018 0.650 0.750
12 Si 0.518 0.850 0.750
13 Si 0.018 0.150 0.750
14 Si 0.518 0.350 0.750
15 Si 0.250 0.148 0.000
16 Si 0.750 0.352 0.000
17 Ge 0.373 0.905 0.125
18 Ge 0.873 0.595 0.125
19 Ge 0.373 0.405 0.125
20 Ge 0.873 0.095 0.125
21 Ge 0.873 0.595 0.375
22 Ge 0.373 0.905 0.375
23 Ge 0.873 0.095 0.375
24 Ge 0.373 0.405 0.375
25 Ge 0.627 0.595 0.625
26 Ge 0.127 0.905 0.625
27 Ge 0.627 0.095 0.625
28 Ge 0.127 0.405 0.625
29 Ge 0.627 0.595 0.875
30 Ge 0.127 0.905 0.875
31 Ge 0.627 0.095 0.875
32 Ge 0.127 0.405 0.875
33 O 0.001 0.750 0.000
34 O 0.501 0.750 0.000
35 O 0.217 0.050 0.068
36 O 0.717 0.450 0.068
37 O 0.217 0.549 0.068
38 O 0.717 0.951 0.068
39 O 0.519 0.053 0.182
40 O 0.019 0.447 0.182
41 O 0.019 0.947 0.182
42 O 0.519 0.553 0.182
43 O 0.213 0.733 0.250
44 O 0.713 0.767 0.250
45 O 0.713 0.267 0.250
46 O 0.213 0.233 0.250
47 O 0.019 0.447 0.318
48 O 0.519 0.053 0.318
49 O 0.519 0.553 0.318
50 O 0.019 0.947 0.318
51 O 0.217 0.049 0.432
52 O 0.717 0.451 0.432
53 O 0.217 0.550 0.432
54 O 0.717 0.950 0.432
55 O 0.501 0.250 0.500
56 O 0.001 0.250 0.500
57 O 0.999 0.750 0.500
58 O 0.499 0.750 0.500
59 O 0.283 0.050 0.568
60 O 0.783 0.450 0.568
61 O 0.283 0.549 0.568
62 O 0.783 0.951 0.568
63 O 0.981 0.053 0.682
64 O 0.481 0.447 0.682
65 O 0.481 0.947 0.682
66 O 0.981 0.553 0.682
67 O 0.787 0.767 0.750
68 O 0.287 0.733 0.750
69 O 0.787 0.267 0.750
70 O 0.287 0.233 0.750
71 O 0.481 0.447 0.818
72 O 0.981 0.053 0.818
73 O 0.981 0.553 0.818
74 O 0.481 0.947 0.818
75 O 0.283 0.049 0.932
76 O 0.783 0.451 0.932
77 O 0.283 0.550 0.932
78 O 0.783 0.950 0.932
79 O 0.999 0.250 0.000
80 O 0.499 0.250 0.000

=====

The following is a DFT calculation (PBEsol) of a relaxed structure of CaAl2In.

Values from the calculation:
The energy of formation from the pure elements is -0.039 eV/atom. For the total magnetization, the calculation gives 0.00 Bohr magnetons per cell. As for the space group: No. 12.

Lattice parameters (Å, degrees): 3.469 5.155 5.563 100.95 90.00 109.66
Sites, in units of the cell vectors:
1 Ca 0.000 0.000 0.500
2 Al 0.757 0.514 0.794
3 Al 0.243 0.486 0.206
4 In 0.500 0.000 0.000

=====

The following is a DFT calculation (PBEsol) of a relaxed structure of SrMoO2F.

Values from the calculation:
For the total magnetization, the calculation gives 0.00 Bohr magnetons per cell. As for the formation energy without anion corrections: -11.17 eV per formula unit. As for the space group: No. 123.

Lattice parameters (Å, degrees): 4.147 3.981 3.981 90.00 90.00 90.00
Sites, in units of the cell vectors:
1 Sr 0.500 0.500 0.500
2 Mo 0.000 0.000 0.000
3 O 0.000 0.000 0.500
4 O 0.000 0.500 0.000
5 F 0.500 0.000 0.000

=====

The following is a DFT calculation (PBEsol) of a relaxed structure of Re2NiPb.

Values from the calculation:
The energy of formation from the pure elements is 0.652 eV/atom. For the total magnetization, the calculation gives 0.00 Bohr magnetons per cell. As for the space group: No. 71.

Lattice parameters (Å, degrees): 2.790 4.346 5.873 111.71 103.74 90.00
Sites, in units of the cell vectors:
1 Ni 0.000 0.500 0.000
2 Pb 0.500 0.000 0.000
3 Re 0.709 0.709 0.419
4 Re 0.291 0.291 0.581

=====

The following is a DFT calculation (PBEsol) of a relaxed structure of RhPb2.

Values from the calculation:
The energy of formation from the pure elements is 0.022 eV/atom. For the total magnetization, the calculation gives 0.00 Bohr magnetons per cell. As for the space group: No. 141.

Lattice parameters (Å, degrees): 3.295 3.295 12.873 97.35 97.35 90.00
Sites, in units of the cell vectors:
1 Pb 0.817 0.317 0.633
2 Pb 0.433 0.433 0.867
3 Pb 0.683 0.183 0.367
4 Pb 0.567 0.567 0.133
5 Rh 0.250 0.750 0.500
6 Rh 0.000 0.000 0.000

=====

The following is a DFT calculation (PBEsol) of a relaxed structure of LaEuCd2.

Values from the calculation:
The energy of formation from the pure elements is -0.340 eV/atom. For the total magnetization, the calculation gives 7.18 Bohr magnetons per cell. As for the space group: No. 225.

Lattice parameters (Å, degrees): 5.439 5.439 5.439 60.00 60.00 60.00
Each line ends with the local moment (μB).
Sites, in units of the cell vectors:
1 Eu 0.000 0.000 0.000  6.82
2 La 0.500 0.500 0.500  0.01
3 Cd 0.250 0.250 0.250  0.01
4 Cd 0.750 0.750 0.750  0.04

=====

The following is a DFT calculation (PBEsol) of a relaxed structure of Li2NiP4O12.

Values from the calculation:
The calculation puts the excess energy over the best structure of this formula in the dataset at 0.091 eV per formula unit. For the total magnetization, the calculation gives 4.00 Bohr magnetons per cell. As for the formation energy without anion corrections: -39.09 eV per formula unit. As for the space group: No. 15.

Lattice parameters (Å, degrees): 7.547 8.377 8.377 113.47 97.61 97.61
Each line ends with the local moment (μB).
Sites, in units of the cell vectors:
1 Li 0.254 0.523 0.816  0.00
2 Li 0.754 0.816 0.523  0.00
3 Li 0.246 0.184 0.477  0.00
4 Li 0.746 0.477 0.184  0.00
5 Ni 0.250 0.872 0.128  1.62
6 Ni 0.750 0.128 0.872  1.62
7 P 0.671 0.063 0.207  0.01
8 P 0.171 0.207 0.063  0.01
9 P 0.329 0.937 0.793  0.01
10 P 0.829 0.793 0.937  0.01
11 P 0.120 0.770 0.422  0.00
12 P 0.620 0.422 0.770  0.00
13 P 0.380 0.578 0.230  0.00
14 P 0.880 0.230 0.578  0.00
15 O 0.665 0.173 0.101  0.05
16 O 0.506 0.016 0.272  0.05
17 O 0.335 0.827 0.899  0.05
18 O 0.494 0.984 0.728  0.05
19 O 0.835 0.899 0.827  0.05
20 O 0.994 0.728 0.984  0.05
21 O 0.158 0.833 0.631  0.01
22 O 0.658 0.631 0.833  0.01
23 O 0.186 0.921 0.375  0.04
24 O 0.686 0.375 0.921  0.04
25 O 0.425 0.360 0.678  0.00
26 O 0.250 0.629 0.371  0.00
27 O 0.250 0.110 0.890  0.00
28 O 0.075 0.322 0.640  0.00
29 O 0.925 0.678 0.360  0.00
30 O 0.750 0.890 0.110  0.00
31 O 0.750 0.371 0.629  0.00
32 O 0.575 0.640 0.322  0.00
33 O 0.314 0.625 0.079  0.04
34 O 0.814 0.079 0.625  0.04
35 O 0.342 0.369 0.167  0.01
36 O 0.842 0.167 0.369  0.01
37 O 0.006 0.272 0.016  0.05
38 O 0.165 0.101 0.173  0.05

=====

The following is a DFT calculation (PBEsol) of a relaxed structure of Ti2ZnPt2.

Values from the calculation:
The energy of formation from the pure elements is -0.706 eV/atom. For the total magnetization, the calculation gives 0.00 Bohr magnetons per cell. As for the space group: No. 127.

Lattice parameters (Å, degrees): 3.003 7.262 7.262 90.00 90.00 90.00
Sites, in units of the cell vectors:
1 Zn 0.000 0.000 0.000
2 Zn 0.000 0.500 0.500
3 Pt 0.000 0.367 0.867
4 Pt 0.000 0.867 0.633
5 Pt 0.000 0.633 0.133
6 Pt 0.000 0.133 0.367
7 Ti 0.500 0.168 0.668
8 Ti 0.500 0.668 0.832
9 Ti 0.500 0.832 0.332
10 Ti 0.500 0.332 0.168

=====

The following is a DFT calculation (PBEsol) of a relaxed structure of CaTaPt.

Values from the calculation:
The energy of formation from the pure elements is 0.167 eV/atom. For the total magnetization, the calculation gives 0.00 Bohr magnetons per cell. As for the space group: No. 216.

Lattice parameters (Å, degrees): 4.540 4.540 4.540 60.00 60.00 60.00
Sites, in units of the cell vectors:
1 Ca 0.500 0.500 0.500
2 Pt 0.250 0.250 0.250
3 Ta 0.000 0.000 0.000

=====

The following is a DFT calculation (PBEsol) of a relaxed structure of FeMo2H2.

Values from the calculation:
For the total magnetization, the calculation gives 0.00 Bohr magnetons per cell. As for the space group: No. 139. The uncorrected energy comes out at -7.740 eV per atom.

Lattice parameters (Å, degrees): 2.799 2.799 6.163 103.13 103.13 90.00
Sites, in units of the cell vectors:
1 H 0.250 0.750 0.500
2 H 0.750 0.250 0.500
3 Mo 0.641 0.641 0.282
4 Mo 0.359 0.359 0.718
5 Fe 0.000 0.000 0.000

=====

The following is a DFT calculation (PBEsol) of a relaxed structure of HfMo3As.

Values from the calculation:
The energy of formation from the pure elements is 2.128 eV/atom. For the total magnetization, the calculation gives 0.00 Bohr magnetons per cell. As for the space group: No. 221.

Lattice parameters (Å, degrees): 4.725 4.725 4.725 90.00 90.00 90.00
Sites, in units of the cell vectors:
1 Mo 0.000 0.500 0.000
2 Mo 0.000 0.000 0.500
3 Mo 0.500 0.000 0.000
4 Hf 0.000 0.000 0.000
5 As 0.500 0.500 0.500

=====

The following is a DFT calculation (PBEsol) of a relaxed structure of TaTi2IrCl.

Values from the calculation:
For the total magnetization, the calculation gives 0.00 Bohr magnetons per cell. As for the formation energy without anion corrections: 1.61 eV per formula unit. As for the space group: No. 123.

Lattice parameters (Å, degrees): 4.290 4.290 4.489 90.00 90.00 90.00
Sites, in units of the cell vectors:
1 Cl 0.000 0.000 0.000
2 Ir 0.000 0.000 0.500
3 Ti 0.000 0.500 0.000
4 Ti 0.500 0.000 0.000
5 Ta 0.500 0.500 0.500

=====

The following is a DFT calculation (PBEsol) of a relaxed structure of YAl2Ni.

Values from the calculation:
The energy of formation from the pure elements is 0.030 eV/atom. For the total magnetization, the calculation gives 0.00 Bohr magnetons per cell. As for the space group: No. 160.

Lattice parameters (Å, degrees): 3.142 3.142 8.689 79.58 79.58 60.00
Sites, in units of the cell vectors:
1 Y 0.239 0.239 0.283
2 Ni 0.492 0.492 0.525
3 Al 0.008 0.008 0.976
4 Al 0.761 0.761 0.717